[1]
The following is a PBE-GGA calculation of Cr2InMo after structural relaxation, from Alexandria.

Calculated values
The formation energy is 0.4246 eV per atom. For the volume, the calculation gives 60.4 Å³/cell.

a = 5.023 Å, b = 5.023 Å, c = 4.458 Å
α = 63.64°, β = 63.64°, γ = 37.41°
Fractional positions:
Cr 0.983 0.983 0.018
Cr 0.517 0.517 0.482
In 0.750 0.750 0.750
Mo 0.250 0.250 0.250

[2]
The following is a PBE-GGA calculation of Cr2InMo after structural relaxation, from Alexandria.

Calculated values
The formation energy is 0.3726 eV per atom. For the volume, the calculation gives 62.2 Å³/cell.

a = 3.731 Å, b = 2.909 Å, c = 6.128 Å
α = 69.24°, β = 90.00°, γ = 90.00°
Fractional positions:
Cr 0.000 0.016 0.012
Cr 0.500 0.205 0.193
In 0.000 0.500 0.491
Mo 0.500 0.779 0.804

[3]
The following is a PBE-GGA calculation of Cr2InMo after structural relaxation, from Alexandria.

Calculated values
The formation energy is 0.4016 eV per atom. For the volume, the calculation gives 60.8 Å³/cell.

a = 2.753 Å, b = 2.753 Å, c = 8.597 Å
α = 90.00°, β = 90.00°, γ = 111.11°
Fractional positions:
Cr 0.000 0.000 0.015
Cr 0.500 0.500 0.219
In 0.000 0.000 0.489
Mo 0.500 0.500 0.777

[4]
The following is a PBE-GGA calculation of Cr2InMo after structural relaxation, from Alexandria.

Calculated values
The formation energy is 0.5231 eV per atom. For the volume, the calculation gives 60.3 Å³/cell.

a = 5.138 Å, b = 5.138 Å, c = 2.695 Å
α = 79.06°, β = 79.06°, γ = 115.00°
Fractional positions:
Cr 0.000 0.000 0.000
Cr 0.500 0.500 0.000
In 0.500 0.000 0.500
Mo 0.000 0.500 0.500